Below is a relaxed structure of AcCo2IrO8, with properties calculated at the PBE with a Hubbard U level.

```
12
Lattice="4.450 0.055 0.029 0.095 4.491 -0.059 0.040 -0.088 7.437" Properties=species:S:1:pos:R:3 pbc="T T T"
O 1.037 3.500 5.814
O 2.607 2.812 3.363
O 3.549 0.958 1.593
Co 2.261 2.267 1.430
Co 2.324 2.190 5.977
O 0.941 3.543 1.489
O 1.979 1.646 4.045
O 3.644 0.914 5.919
Ir 0.000 0.000 0.000
Ac 0.020 -0.044 3.718
O 1.358 1.325 0.002
O 3.227 3.132 7.405
```

Values from the calculation:
The final energy comes out at -77.29 eV per formula unit.

Below is a relaxed structure of Ac2CoIrO8, with properties calculated at the PBE with a Hubbard U level.

```
12
Lattice="5.412 -0.243 0.170 -0.184 4.343 -0.048 0.233 -0.029 7.140" Properties=species:S:1:pos:R:3 pbc="T T T"
Ac 2.556 2.925 1.822
O 1.232 3.260 6.040
O 3.920 3.039 6.777
Ac 2.906 1.146 5.440
O 3.760 3.314 4.003
O 0.044 3.329 1.630
O 1.701 0.757 3.259
Co 0.116 -0.015 3.570
O 4.229 0.810 1.222
Ir 0.000 0.000 0.000
O 5.417 0.742 5.632
O 1.541 1.032 0.485
```

Values from the calculation:
The final energy comes out at -83.02 eV per formula unit.

Below is a relaxed structure of AcCoIr2O8, with properties calculated at the PBE with a Hubbard U level.

```
12
Lattice="5.080 0.000 0.000 2.540 4.399 0.000 2.540 1.466 6.967" Properties=species:S:1:pos:R:3 pbc="T T T"
O 3.506 2.825 5.767
Ac 5.080 2.933 3.484
Co 0.000 0.000 0.000
O 6.654 3.041 1.200
O 4.387 1.515 1.200
Ir 7.620 4.399 5.701
O 4.199 4.242 1.200
O 7.620 4.399 3.785
O 5.961 1.624 5.767
O 2.540 1.466 3.182
O 5.773 4.350 5.767
Ir 2.540 1.466 1.266
```

Values from the calculation:
The final energy comes out at -78.43 eV per formula unit.

Below is a relaxed structure of Ac2CoIrO6, with properties calculated at the PBE with a Hubbard U level.

```
10
Lattice="-2.548 2.223 4.753 -0.823 -5.190 1.986 5.295 1.620 -1.517" Properties=species:S:1:pos:R:3 pbc="T T T"
O -2.211 -2.192 5.221
O -1.805 0.369 4.240
Ir -0.411 -2.595 0.993
O 3.729 -1.716 0.982
Ac 0.101 -1.406 4.313
O 1.172 -2.357 2.270
Ac 1.823 0.059 0.909
O 0.752 1.011 2.953
O 4.135 0.845 0.002
Co -1.274 1.111 2.376
```

Values from the calculation:
The final energy comes out at -73.38 eV per formula unit.